Computed, not measured: a geometry-optimized Ba4U3CuO12 structure at the PBE level of DFT.

abc: 7.597 7.597 7.597
angles: 109.47 109.47 109.47
Positions (direct):
Ba: 0.500 0.000 0.000
Ba: 0.000 0.500 0.000
Ba: 0.000 0.000 0.500
Ba: 0.500 0.500 0.500
O: 0.266 0.266 0.000
O: 0.500 0.750 0.250
O: 0.734 0.734 0.000
O: 0.734 0.000 0.734
O: 0.500 0.250 0.750
O: 0.750 0.500 0.250
O: 0.000 0.734 0.734
O: 0.250 0.750 0.500
O: 0.266 0.000 0.266
O: 0.000 0.266 0.266
O: 0.250 0.500 0.750
O: 0.750 0.250 0.500
U: 0.000 0.500 0.500
U: 0.500 0.000 0.500
U: 0.500 0.500 0.000
Cu: 0.000 0.000 0.000

The volume comes out at 16.88 A^3/atom. For the final energy, the calculation gives -8.1456 eV per atom. The value obtained for the uncorrected formation energy is -2.888 eV per atom.